A plane-wave DFT calculation with PBE-GGA was carried out for an optimized crystal structure of TePt3.

abc: 4.860 4.860 3.004
angles: 90.00 90.00 90.00
Fractional coordinates of all 4 atoms:
Te: 0.000 0.000 0.000
Pt: 0.000 0.500 0.500
Pt: 0.500 0.000 0.500
Pt: 0.500 0.500 0.000

* energy relative to the elements, uncorrected: 117 meV per atom
* N(E_F): 0.838 states/eV/atom
* volume: 17.7 Å³ per atom
* symmetry: No. 123

A plane-wave DFT calculation with PBE-GGA was carried out for an optimized crystal structure of NdSi3Au2.

abc: 12.966 12.966 12.966
angles: 160.93 160.93 27.10
Fractional coordinates of all 12 atoms:
Nd: 0.147 0.147 0.000
Nd: 0.853 0.853 0.000
Si: 0.046 0.546 0.500
Si: 0.306 0.306 0.000
Si: 0.454 0.954 0.500
Si: 0.546 0.046 0.500
Si: 0.694 0.694 0.000
Si: 0.954 0.454 0.500
Au: 0.250 0.750 0.500
Au: 0.403 0.403 0.000
Au: 0.597 0.597 0.000
Au: 0.750 0.250 0.500

* energy relative to the elements, uncorrected: -401 meV per atom
* N(E_F): 0.221 states/eV/atom
* volume: 19.4 Å³ per atom
* symmetry: No. 139

A plane-wave DFT calculation with PBE-GGA was carried out for an optimized crystal structure of LaNb2F.

abc: 4.739 4.739 4.739
angles: 60.00 60.00 60.00
Fractional coordinates of all 4 atoms:
La: 0.000 0.000 0.000
Nb: 0.250 0.250 0.250
Nb: 0.750 0.750 0.750
F: 0.500 0.500 0.500

* energy relative to the elements, uncorrected: 535 meV per atom
* N(E_F): 0.684 states/eV/atom
* volume: 18.8 Å³ per atom
* symmetry: No. 225
* distance to the lowest polymorph of the same formula: 0.445 eV/atom

Here are the calculated E_tot numbers, same order: -5.199; -4.999; -6.200 (eV per atom).